(1)
10
Lattice="-2.211 7.546 0.432 -6.003 -2.026 4.677 2.012 0.431 2.769" Properties=species:S:1:pos:R:3 comment="Zr2SnSe2 | the Alexandria database | PBE | optimized geometry" density_g_cm3=7.13 spacegroup="No. 127" pbc="T T T"
Se -3.120 -0.042 4.422
Se -5.584 3.272 5.697
Se -3.083 5.994 3.456
Se -0.618 2.679 2.181
Sn 0.000 0.000 0.000
Sn -4.107 2.760 2.555
Zr -5.885 0.924 4.132
Zr -5.777 5.107 3.403
Zr -2.329 4.596 0.977
Zr -2.437 0.413 1.706

***

(2)
10
Lattice="3.903 0.000 0.000 -1.952 8.020 -3.642 0.000 -0.918 10.068" Properties=species:S:1:pos:R:3 comment="ZrSnSe3 | the Alexandria database | PBE | optimized geometry" density_g_cm3=4.91 spacegroup="No. 12" pbc="T T T"
Zr 0.000 4.744 4.405
Zr 1.952 2.358 2.020
Sn 0.000 1.475 7.362
Sn 1.952 5.627 -0.937
Se 1.952 2.752 4.646
Se 0.000 4.350 1.779
Se 1.952 2.709 -0.794
Se 0.000 4.393 7.219
Se 1.952 6.497 4.520
Se 0.000 0.605 1.905

***

Raw formation energy? In order: -0.88, -0.91 eV per atom.